No. 1
VASP calculation (PBE) on a relaxed structure of LiTl3Hg3O8.

Cell lengths 6.8457, 6.8457, 6.6732 Å; angles 114.97, 114.97, 59.72 degrees
Atoms (fractional coordinates):
Li 0.0000 0.0000 0.0000
Tl 0.0000 0.5000 0.0000
Tl 0.5000 0.0000 0.0000
Tl 0.5000 0.5000 0.0000
Hg 0.0000 0.0000 0.5000
Hg 0.0000 0.5000 0.5000
Hg 0.5000 0.0000 0.5000
O 0.1775 0.7309 0.1905
O 0.2164 0.2164 0.2824
O 0.2691 0.8225 0.8095
O 0.2910 0.2910 0.8034
O 0.7090 0.7090 0.1966
O 0.7309 0.1775 0.1905
O 0.7836 0.7836 0.7176
O 0.8225 0.2691 0.8095

Output
- total energy (eV for the cell shown) = -57.3
- formation energy (no corrections) (meV per atom) = -514

=====

No. 2
VASP calculation (PBE) on a relaxed structure of SrZn2Pb2.

Cell lengths 8.6614, 8.6614, 3.6593 Å; angles 90.00, 90.00, 90.00 degrees
Atoms (fractional coordinates):
Sr 0.0000 0.0000 0.0000
Sr 0.5000 0.5000 0.0000
Zn 0.1604 0.3396 0.5000
Zn 0.3396 0.8396 0.5000
Zn 0.6604 0.1604 0.5000
Zn 0.8396 0.6604 0.5000
Pb 0.1347 0.6347 0.0000
Pb 0.3653 0.1347 0.0000
Pb 0.6347 0.8653 0.0000
Pb 0.8653 0.3653 0.0000

Output
- calculated formation energy (meV/atom) = -14.7
- total energy (eV for the cell shown) = -23.4

=====

No. 3
VASP calculation (PBE) on a relaxed structure of KMgIBr2.

Cell lengths 8.8620, 8.8620, 8.8904 Å; angles 90.00, 90.00, 150.21 degrees
Atoms (fractional coordinates):
K 0.2103 0.7897 0.7500
K 0.7897 0.2103 0.2500
Mg 0.5000 0.5000 0.0000
Mg 0.5000 0.5000 0.5000
I 0.0059 0.9941 0.2500
I 0.9941 0.0059 0.7500
Br 0.3535 0.6465 0.0073
Br 0.3535 0.6465 0.4927
Br 0.6465 0.3535 0.5073
Br 0.6465 0.3535 0.9927

Output
- total energy (eV for the cell shown) = -29.1
- formation energy (no corrections) (meV per atom) = -1389

=====

No. 4
VASP calculation (PBE) on a relaxed structure of CeAlZnAu6.

Cell lengths 8.0203, 8.0203, 8.0203 Å; angles 124.75, 110.93, 94.17 degrees
Atoms (fractional coordinates):
Ce 0.4645 0.2145 0.2500
Ce 0.5355 0.7855 0.7500
Al 0.0000 0.0000 0.0000
Al 0.5000 0.0000 0.5000
Zn 0.0000 0.0000 0.5000
Zn 0.0000 0.5000 0.0000
Au 0.1393 0.4283 0.3133
Au 0.1393 0.8259 0.7110
Au 0.1613 0.9113 0.2500
Au 0.2341 0.4841 0.7500
Au 0.3851 0.1741 0.8133
Au 0.3851 0.5717 0.2110
Au 0.6149 0.4283 0.7890
Au 0.6149 0.8259 0.1867
Au 0.7659 0.5159 0.2500
Au 0.8387 0.0887 0.7500
Au 0.8607 0.1741 0.2890
Au 0.8607 0.5717 0.6867

Output
- calculated formation energy (meV/atom) = -264.5
- total energy (eV for the cell shown) = -66.0

=====

How do the records compare in M_tot? In the order shown, they have 0.00 0.00 0.00 2.12 μB per cell.